Record 1
Here is a geometry-optimized Rb4Au2Br structure from Alexandria. Energies are from PBE-GGA.

Unit cell a=16.8730 b=16.8730 c=16.8730 alpha=16.90 beta=16.90 gamma=16.90
With the nearest neighbours (Å) after each atom.
Fractional coordinates of all 7 atoms:
Rb: 0.1235 0.1235 0.1235  3 Au 3.49
Rb: 0.2930 0.2930 0.2930  3 Br 3.50, 3 Au 3.58
Rb: 0.7070 0.7070 0.7070  3 Br 3.50, 3 Au 3.58
Rb: 0.8765 0.8765 0.8765  3 Au 3.49
Au: 0.4168 0.4168 0.4168  6 Rb 3.49-3.58
Au: 0.5831 0.5831 0.5831  6 Rb 3.49-3.58
Br: 0.0000 0.0000 0.0000  6 Rb 3.50

Calculated values
**DFT total energy**: -2.3735 eV/atom
**Raw formation energy**: -0.645 eV per atom
**Space-group type**: No. 166

Record 2
Here is a geometry-optimized Mg4HIr structure from Alexandria. Energies are from PBE-GGA.

Unit cell a=5.2160 b=5.2175 c=5.2214 alpha=112.74 beta=107.74 gamma=107.90
With the nearest neighbours (Å) after each atom.
Fractional coordinates of all 6 atoms:
Mg: 0.0000 0.0000 0.0000  1 H 2.35
Mg: 0.0341 0.6551 0.3794  1 H 2.35
Mg: 0.3785 0.5159 0.8630  1 H 2.35
Mg: 0.6548 0.1374 0.5163  1 H 2.34
H: 0.5182 0.2661 0.1298  1 Ir 1.68
Ir: 0.5171 0.5570 0.4200  1 H 1.68

Calculated values
**DFT total energy**: -3.3743 eV/atom
**Space-group type**: No. 1

Record 3
Here is a geometry-optimized NdB3Pt6 structure from Alexandria. Energies are from PBE-GGA.

Unit cell a=5.6430 b=5.6566 c=5.8240 alpha=110.34 beta=90.72 gamma=119.44
With the nearest neighbours (Å) after each atom.
Fractional coordinates of all 10 atoms:
Nd: 0.0000 0.0000 0.0000  1 B 2.74, 9 Pt 2.88-3.07
B: 0.1292 0.2387 0.5149  5 Pt 2.16-2.36
B: 0.3482 0.7326 0.1427  6 Pt 2.14-2.33
B: 0.7019 0.4128 0.1602  5 Pt 2.15-2.24
Pt: 0.0960 0.5776 0.3904  3 B 2.14-2.36
Pt: 0.4667 0.9460 0.8686  2 B 2.24
Pt: 0.4731 0.4513 0.8740  3 B 2.21-2.33
Pt: 0.4787 0.1852 0.3918  3 B 2.17-2.23
Pt: 0.7113 0.8146 0.4031  3 B 2.19-2.28
Pt: 0.9556 0.4052 0.8127  2 B 2.16-2.33

Calculated values
**DFT total energy**: -6.5654 eV/atom
**Space-group type**: No. 1
**DFT formation energy**: -0.4609 eV per atom

Record 4
Here is a geometry-optimized Th3Mg7Tl4 structure from Alexandria. Energies are from PBE-GGA.

Unit cell a=8.9890 b=8.9890 c=10.9032 alpha=124.94 beta=124.94 gamma=30.36
With the nearest neighbours (Å) after each atom.
Fractional coordinates of all 14 atoms:
Th: 0.0000 0.0000 0.0000  6 Tl 3.39-3.43, 4 Mg 3.70
Th: 0.3048 0.3048 0.2970  4 Tl 3.40-3.43, 10 Mg 3.44-3.69
Th: 0.6952 0.6952 0.7030  4 Tl 3.40-3.43, 10 Mg 3.44-3.69
Mg: 0.0000 0.0000 0.5000  2 Tl 3.00, 6 Mg 3.16-3.22
Mg: 0.1574 0.1574 0.4331  3 Tl 2.99-3.04, 3 Mg 3.13-3.22
Mg: 0.3295 0.3295 0.9835  4 Tl 2.83-2.96, 1 Mg 3.08
Mg: 0.4897 0.4897 0.6833  3 Tl 2.86-3.01, 5 Mg 3.08-3.16
Mg: 0.5103 0.5103 0.3167  3 Tl 2.86-3.01, 5 Mg 3.08-3.16
Mg: 0.6705 0.6705 0.0165  4 Tl 2.83-2.96, 1 Mg 3.08
Mg: 0.8426 0.8426 0.5669  3 Tl 2.99-3.04, 3 Mg 3.13-3.22
Tl: 0.1216 0.1216 0.8413  6 Mg 2.83-3.01
Tl: 0.3503 0.3503 0.7436  5 Mg 2.85-3.04
Tl: 0.6497 0.6497 0.2564  5 Mg 2.85-3.04
Tl: 0.8784 0.8784 0.1587  6 Mg 2.83-3.01

Calculated values
**DFT total energy**: -3.1618 eV/atom
**Space-group type**: No. 12
**DFT formation energy**: -0.0984 eV per atom